1.
Here is Cu2TeAsBr after structural relaxation from Alexandria via LeMat-Bulk. Energies are from PBE-GGA.

ΔE_f (raw) in eV per formula unit: 1.4
Density of states at the Fermi level in states/eV per atom: 0.381

abc: 4.536 4.536 5.989
angles: 90.00 90.00 90.00
Space group P4/mmm (No. 123)
Unique sites:
Cu  0.000  0.500  0.000 (multiplicity 2)
Te  0.000  0.000  0.500 (multiplicity 1)
As  0.000  0.000  0.000 (multiplicity 1)
Br  0.500  0.500  0.500 (multiplicity 1)



2.
Here is AlCdRu2 after structural relaxation from Alexandria via LeMat-Bulk. Energies are from PBE-GGA.

E_form in kJ/mol of formula units: 51
E above lowest polymorph in meV per atom: 208.6
Density of states at the Fermi level in states/eV per atom: 1.194

abc: 3.990 3.990 7.753
angles: 90.00 90.00 90.00
Space group I-4m2 (No. 119)
Unique sites:
Al  0.000  0.000  0.000 (multiplicity 2)
Cd  0.000  0.500  0.750 (multiplicity 2)
Ru  0.000  0.000  0.500 (multiplicity 2)
Ru  0.000  0.500  0.250 (multiplicity 2)



3.
Here is Ce5As2Ru2 after structural relaxation from Alexandria via LeMat-Bulk. Energies are from PBE-GGA.

E_form in kJ/mol of formula units: -491
Density of states at the Fermi level in states/eV per atom: 2.334

abc: 16.903 7.627 6.925
angles: 90.00 90.00 90.00
Space group Ima2 (No. 46)
Unique sites:
Ce  0.029  0.232  0.000 (multiplicity 8)
Ce  0.163  0.623  0.809 (multiplicity 8)
Ce  0.250  0.233  0.616 (multiplicity 4)
As  0.112  0.519  0.232 (multiplicity 8)
Ru  0.000  0.000  0.267 (multiplicity 4)
Ru  0.250  0.004  0.931 (multiplicity 4)



4.
Here is Zr3BTe after structural relaxation from Alexandria via LeMat-Bulk. Energies are from PBE-GGA.

ΔE_f (raw) in eV per formula unit: -1.5
E above lowest polymorph in meV per atom: 175.8
Density of states at the Fermi level in states/eV per atom: 0.941

abc: 4.664 4.664 4.664
angles: 90.00 90.00 90.00
Space group Pm-3m (No. 221)
Unique sites:
Zr  0.000  0.000  0.500 (multiplicity 3)
B  0.000  0.000  0.000 (multiplicity 1)
Te  0.500  0.500  0.500 (multiplicity 1)



5.
Here is Rb2Li2ZrS4 after structural relaxation from Alexandria via LeMat-Bulk. Energies are from PBE-GGA.

ΔE_f (raw) in eV per formula unit: -12.7

abc: 14.639 3.953 7.683
angles: 90.00 109.20 90.00
Space group C2/m (No. 12)
Unique sites:
Rb  0.138  0.000  0.061 (multiplicity 4)
Li  0.180  0.500  0.483 (multiplicity 4)
Zr  0.000  0.000  0.500 (multiplicity 2)
S  0.015  0.500  0.282 (multiplicity 4)
S  0.187  0.000  0.658 (multiplicity 4)



6.
Here is Ce3Al3Zn8 after structural relaxation from Alexandria via LeMat-Bulk. Energies are from PBE-GGA.

E_form in kJ/mol of formula units: -415
Density of states at the Fermi level in states/eV per atom: 1.340

abc: 4.364 9.473 12.876
angles: 90.00 90.00 90.00
Space group Immm (No. 71)
Unique sites:
Ce  0.000  0.000  0.000 (multiplicity 2)
Ce  0.000  0.000  0.306 (multiplicity 4)
Al  0.000  0.208  0.500 (multiplicity 4)
Al  0.000  0.500  0.000 (multiplicity 2)
Zn  0.000  0.277  0.141 (multiplicity 8)
Zn  0.000  0.366  0.338 (multiplicity 8)



7.
Here is PuCuPt2 after structural relaxation from Alexandria via LeMat-Bulk. Energies are from PBE-GGA.

E_form in kJ/mol of formula units: -188
Density of states at the Fermi level in states/eV per atom: 2.987

abc: 4.3408 4.3408 13.7864
angles: 90.00 90.00 120.00
Space group R-3m (No. 166, hexagonal axes)
Unique sites:
Pu  0.0000  0.0000  0.0000 (multiplicity 3)
Cu  0.0000  0.0000  0.5000 (multiplicity 3)
Pt  0.0000  0.0000  0.2185 (multiplicity 6)



8.
Here is Er2Cl3O after structural relaxation from Alexandria via LeMat-Bulk. Energies are from PBE-GGA.

ΔE_f (raw) in eV per formula unit: -15.4

abc: 16.309 3.852 10.524
angles: 90.00 122.23 90.00
Space group C2/m (No. 12)
Unique sites:
Er  0.078  0.000  0.455 (multiplicity 4)
Er  0.135  0.500  0.786 (multiplicity 4)
Cl  0.040  0.500  0.240 (multiplicity 4)
Cl  0.168  0.000  0.011 (multiplicity 4)
Cl  0.220  0.500  0.615 (multiplicity 4)
O  0.084  0.000  0.671 (multiplicity 4)



| no. | VASP energy (eV per atom) |
| --- | --- |
| 1 | -3.2456 |
| 2 | -5.6695 |
| 3 | -6.9567 |
| 4 | -7.3860 |
| 5 | -4.8333 |
| 6 | -3.1084 |
| 7 | -8.1158 |
| 8 | -5.8329 |